1.
Rb3SmSc2Se6 (PBE, optimized geometry); symmetry = C2/m, No. 12; DFT total energy = -5.061 eV/atom
1.0
3.586 -6.212 0.000
3.586 6.212 0.000
-2.398 0.000 7.956
Rb Sm Sc Se
3 1 2 6
Direct
0.000 0.000 0.000
0.337 0.663 0.000
0.663 0.337 0.000
0.500 0.500 0.500
0.167 0.833 0.500
0.833 0.167 0.500
0.086 0.436 0.309
0.213 0.213 0.689
0.436 0.086 0.309
0.564 0.914 0.691
0.787 0.787 0.311
0.914 0.564 0.691

***

2.
RbSmSc4Se8 (PBE, optimized geometry); symmetry = R3m, No. 160; DFT total energy = -5.756 eV/atom
1.0
4.088 2.360 7.110
-4.088 2.360 7.110
0.000 -4.720 7.110
Rb Sm Sc Se
1 1 4 8
Direct
0.000 0.000 0.000
0.355 0.355 0.355
0.358 0.358 0.875
0.358 0.875 0.358
0.734 0.734 0.734
0.875 0.358 0.358
0.114 0.114 0.563
0.114 0.563 0.114
0.124 0.610 0.610
0.137 0.137 0.137
0.563 0.114 0.114
0.604 0.604 0.604
0.610 0.124 0.610
0.610 0.610 0.124

***

3.
Rb3Sm3ScSe8 (PBE, optimized geometry); symmetry = C2/m, No. 12; DFT total energy = -5.039 eV/atom
1.0
7.279 -4.200 0.000
7.279 4.200 0.000
-4.859 0.000 8.210
Rb Sm Sc Se
3 3 1 8
Direct
0.000 0.000 0.000
0.000 0.500 0.000
0.500 0.000 0.000
0.000 0.500 0.500
0.500 0.000 0.500
0.500 0.500 0.500
0.000 0.000 0.500
0.221 0.221 0.689
0.221 0.747 0.689
0.253 0.779 0.311
0.266 0.266 0.299
0.734 0.734 0.701
0.747 0.221 0.689
0.779 0.253 0.311
0.779 0.779 0.311

***

4.
Rb4Sm3ScSe8 (PBE, optimized geometry); symmetry = R-3m, No. 166; DFT total energy = -4.954 eV/atom
1.0
4.261 2.460 7.995
-4.261 2.460 7.995
0.000 -4.920 7.995
Rb Sm Sc Se
4 3 1 8
Direct
0.000 0.000 0.000
0.000 0.500 0.500
0.500 0.000 0.500
0.500 0.500 0.000
0.000 0.000 0.500
0.000 0.500 0.000
0.500 0.000 0.000
0.500 0.500 0.500
0.234 0.234 0.234
0.246 0.724 0.724
0.276 0.276 0.754
0.276 0.754 0.276
0.724 0.246 0.724
0.724 0.724 0.246
0.754 0.276 0.276
0.766 0.766 0.766

***

5.
Rb2ScSnSe4 (PBE, optimized geometry); symmetry = Fddd, No. 70; DFT total energy = -4.331 eV/atom
1.0
0.000 7.405 12.255
3.407 0.000 12.255
3.407 7.405 0.000
Rb Sc Sn Se
4 2 2 8
Direct
0.057 0.057 0.693
0.307 0.307 0.943
0.693 0.693 0.057
0.943 0.943 0.307
0.125 0.125 0.125
0.875 0.875 0.875
0.375 0.375 0.375
0.625 0.625 0.625
0.047 0.313 0.407
0.266 0.593 0.687
0.313 0.047 0.734
0.407 0.734 0.047
0.593 0.266 0.953
0.687 0.953 0.266
0.734 0.407 0.313
0.953 0.687 0.593

***

6.
Rb2ScSnSe5 (PBE, optimized geometry); symmetry = Cmc2_1, No. 36; DFT total energy = -4.265 eV/atom
1.0
1.981 -10.263 0.000
1.981 10.263 0.000
0.000 0.000 14.995
Rb Sc Sn Se
4 2 2 10
Direct
0.135 0.865 0.500
0.140 0.860 0.129
0.860 0.140 0.629
0.865 0.135 0.000
0.202 0.798 0.839
0.798 0.202 0.339
0.437 0.563 0.232
0.563 0.437 0.732
0.053 0.947 0.846
0.305 0.695 0.454
0.314 0.686 0.203
0.328 0.672 0.818
0.499 0.501 0.090
0.501 0.499 0.590
0.672 0.328 0.318
0.686 0.314 0.703
0.695 0.305 0.954
0.947 0.053 0.346

***

7.
Rb2Sc2SnSe6 (PBE, optimized geometry); symmetry = C2/m, No. 12; DFT total energy = -4.855 eV/atom
1.0
3.425 -5.972 0.000
3.425 5.972 0.000
-2.312 0.000 8.223
Rb Sc Sn Se
2 2 1 6
Direct
0.167 0.833 0.000
0.833 0.167 0.000
0.331 0.669 0.500
0.669 0.331 0.500
0.000 0.000 0.500
0.065 0.397 0.686
0.271 0.271 0.317
0.397 0.065 0.686
0.603 0.935 0.314
0.729 0.729 0.683
0.935 0.603 0.314

***

8.
Rb2SrScSe (PBE, optimized geometry); symmetry = P4/mmm, No. 123; DFT total energy = -2.776 eV/atom
1.0
6.629 0.000 0.000
0.000 6.629 0.000
0.000 0.000 5.968
Rb Sr Sc Se
2 1 1 1
Direct
0.000 0.500 0.000
0.500 0.000 0.000
0.000 0.000 0.500
0.500 0.500 0.500
0.000 0.000 0.000

***

9.
Rb2TbScSe4 (PBE, optimized geometry); symmetry = P2/m, No. 10; DFT total energy = -5.010 eV/atom
1.0
7.195 0.000 0.000
0.000 4.157 0.000
-2.396 0.000 7.960
Rb Tb Sc Se
2 1 1 4
Direct
0.000 0.000 0.000
0.500 0.500 0.000
0.000 0.500 0.500
0.500 0.000 0.500
0.243 0.000 0.694
0.282 0.500 0.311
0.718 0.500 0.689
0.757 0.000 0.306

***

10.
RbTbSc4Se8 (PBE, optimized geometry); symmetry = R3m, No. 160; DFT total energy = -5.751 eV/atom
1.0
4.091 2.362 7.045
-4.091 2.362 7.045
0.000 -4.724 7.045
Rb Tb Sc Se
1 1 4 8
Direct
0.000 0.000 0.000
0.643 0.643 0.643
0.123 0.641 0.641
0.265 0.265 0.265
0.641 0.123 0.641
0.641 0.641 0.123
0.391 0.391 0.873
0.391 0.873 0.391
0.394 0.394 0.394
0.438 0.881 0.881
0.862 0.862 0.862
0.873 0.391 0.391
0.881 0.438 0.881
0.881 0.881 0.438

***

11.
RbTbScSe3 (PBE, optimized geometry); symmetry = P2_1/m, No. 11; DFT total energy = -5.306 eV/atom
1.0
9.289 0.000 0.000
0.000 4.390 0.000
-3.379 0.000 9.770
Rb Tb Sc Se
2 2 2 6
Direct
0.211 0.250 0.227
0.789 0.750 0.773
0.337 0.750 0.867
0.663 0.250 0.133
0.088 0.250 0.609
0.912 0.750 0.391
0.121 0.250 0.866
0.207 0.750 0.552
0.468 0.750 0.156
0.532 0.250 0.844
0.793 0.250 0.448
0.879 0.750 0.134

***

12.
Rb2Sc2Te2Se (PBE, optimized geometry); symmetry = I4/mmm, No. 139; DFT total energy = -4.576 eV/atom
1.0
-2.568 2.568 9.110
2.568 -2.568 9.110
2.568 2.568 -9.110
Rb Sc Te Se
2 2 2 1
Direct
0.182 0.182 0.000
0.818 0.818 0.000
0.000 0.500 0.500
0.500 0.000 0.500
0.394 0.394 0.000
0.606 0.606 0.000
0.000 0.000 0.000

***

Spin magnetization for every record listed, in sequence, given in Bohr magnetons per cell: 0.00, 0.00, 0.00, 0.00, 0.00, 0.01, 0.00, 2.10, 0.00, 0.00, 0.01, 1.39.
Energy relative to the elements, uncorrected for every record listed, in sequence, given in eV per atom: -1.629, -1.550, -1.621, -1.689, -1.055, -0.966, -1.263, -0.089, -1.656, -1.551, -1.575, -1.095.
Density for every record listed, in sequence, given in g cm⁻³: 4.5, 4.2, 4.6, 4.9, 3.5, 4.0, 4.2, 2.4, 4.8, 4.3, 4.4, 4.1.